Record 1
This record from Alexandria describes crystalline Pm12Pr6Tm at its relaxed geometry. The functional is PBE-GGA.

Lattice parameters (Å, degrees): 12.3129 12.3129 15.3002 90.00 90.00 120.00
Last column: nearest neighbours and their distance in Å.
Space group R-3 (No. 148, hexagonal axes)
One atom of each set of equivalent atoms:
Pm: 0.0028 0.1718 0.1897 x18  4 Pm 3.50-3.70, 4 Pr 3.57-3.77, 1 Tm 3.58
Pm: 0.0486 0.1955 0.4164 x18  4 Pm 3.35-3.70, 3 Pr 3.45-3.49
Pr: 0.0131 0.5909 0.6849 x18  7 Pm 3.45-3.77, 1 Tm 3.58, 2 Pr 3.61
Tm: 0.0000 0.0000 0.0000 x3  6 Pr 3.58, 6 Pm 3.58

Output
offset from the most stable computed form	0	meV per atom

=====

Record 2
This record from Alexandria describes crystalline SmPaRhO6 at its relaxed geometry. The functional is PBE-GGA.

Lattice parameters (Å, degrees): 5.4335 5.4335 4.9196 90.00 90.00 120.00
Last column: nearest neighbours and their distance in Å.
Space group P312 (No. 149)
One atom of each set of equivalent atoms:
Sm: 0.0000 0.0000 0.0000 x1  6 O 2.32
Pa: 0.3333 0.6667 0.5000 x1  6 O 2.20
Rh: 0.6667 0.3333 0.0000 x1  6 O 2.05
O: 0.3738 0.0144 0.7590 x6  1 Rh 2.05, 1 Pa 2.20

Output
VASP energy	-73.6	eV for the cell shown

=====

Record 3
This record from Alexandria describes crystalline Mn2PdRh2 at its relaxed geometry. The functional is PBE-GGA.

Lattice parameters (Å, degrees): 7.0825 7.0825 2.6818 90.00 90.00 90.00
Last column: nearest neighbours and their distance in Å.
Space group P4/mbm (No. 127)
One atom of each set of equivalent atoms:
Mn: 0.1165 0.3835 0.0000 x4  1 Mn 2.33, 6 Rh 2.48-2.50
Pd: 0.0000 0.0000 0.0000 x2  2 Pd 2.68, 4 Mn 2.84, 8 Rh 2.94
Rh: 0.1730 0.6730 0.5000 x4  6 Mn 2.48-2.50, 2 Rh 2.68

Output
VASP energy	-75.3	eV for the cell shown

=====

Record 4
This record from Alexandria describes crystalline Y6AlS4 at its relaxed geometry. The functional is PBE-GGA.

Lattice parameters (Å, degrees): 3.9068 13.1086 20.0317 90.00 90.00 90.00
Last column: nearest neighbours and their distance in Å.
Space group Cmcm (No. 63)
One atom of each set of equivalent atoms:
Y: 0.0000 0.0000 0.0000 x4  6 S 2.73-2.78
Y: 0.0000 0.1591 0.2500 x4  2 S 2.71, 2 Al 3.01
Y: 0.0000 0.2720 0.5860 x8  5 S 2.75-2.79
Y: 0.0000 0.4555 0.1609 x8  3 S 2.73-2.75
Al: 0.0000 0.1661 0.7500 x4  6 Y 3.01-3.09
S: 0.0000 0.0910 0.1224 x8  6 Y 2.71-2.75
S: 0.0000 0.3617 0.0394 x8  6 Y 2.73-2.79

Output
VASP energy	-304.7	eV for the cell shown

=====

Record 5
This record from Alexandria describes crystalline CrAsPBr2 at its relaxed geometry. The functional is PBE-GGA.

Lattice parameters (Å, degrees): 4.6780 4.6780 5.0401 90.00 90.00 90.00
Last column: nearest neighbours and their distance in Å.
Space group P4/mmm (No. 123)
One atom of each set of equivalent atoms:
Cr: 0.0000 0.0000 0.0000 x1  4 Br 2.34, 2 As 2.52
As: 0.0000 0.0000 0.5000 x1  2 Cr 2.52
P: 0.5000 0.5000 0.5000 x1  4 As 3.31, 8 Br 3.44
Br: 0.0000 0.5000 0.0000 x2  2 Cr 2.34

Output
offset from the most stable computed form	0	meV per atom

=====

Record 6
This record from Alexandria describes crystalline NdPu2IO4 at its relaxed geometry. The functional is PBE-GGA.

Lattice parameters (Å, degrees): 4.0363 4.0363 9.4580 90.00 90.00 90.00
Last column: nearest neighbours and their distance in Å.
Space group P4/mmm (No. 123)
One atom of each set of equivalent atoms:
Nd: 0.0000 0.0000 0.0000 x1  8 O 2.49
Pu: 0.5000 0.5000 0.2564 x2  4 O 2.24
I: 0.0000 0.0000 0.5000 x1  8 Pu 3.67, 8 O 3.84, 4 I 4.04
O: 0.0000 0.5000 0.1548 x4  2 Pu 2.24, 2 Nd 2.49

Output
VASP energy	-77.3	eV for the cell shown

=====

Record 7
This record from Alexandria describes crystalline DyNbO4 at its relaxed geometry. The functional is PBE-GGA.

Lattice parameters (Å, degrees): 5.9142 5.0251 5.8723 90.00 110.97 90.00
Last column: nearest neighbours and their distance in Å.
Space group P2_1/c (No. 14)
One atom of each set of equivalent atoms:
Dy: 0.0000 0.0000 0.0000 x2  6 O 2.23-2.35
Nb: 0.5000 0.0000 0.5000 x2  6 O 1.97-2.08
O: 0.1758 0.1626 0.3792 x4  1 Nb 1.97
O: 0.3757 0.7127 0.6822 x4  2 Nb 2.05-2.08

Output
VASP energy	-105.1	eV for the cell shown

=====

Record 8
This record from Alexandria describes crystalline LiCaRu2 at its relaxed geometry. The functional is PBE-GGA.

Lattice parameters (Å, degrees): 2.8995 4.1197 5.9450 90.00 103.85 90.00
Last column: nearest neighbours and their distance in Å.
Space group Pm (No. 6)
One atom of each set of equivalent atoms:
Li: 0.0000 0.0000 0.0000 x1  3 Ru 2.52-2.58
Ca: 0.4164 0.5000 0.7215 x1  3 Ru 2.77-3.09, 2 Ca 2.90, 4 Li 2.92-3.07
Ru: 0.3307 0.5000 0.2470 x1  2 Ru 2.51, 2 Li 2.58, 1 Ca 2.77
Ru: 0.8059 0.0000 0.3912 x1  2 Ru 2.51, 1 Li 2.52

Output
offset from the most stable computed form	22	meV per atom

=====

Record 9
This record from Alexandria describes crystalline Tl2InI2Br2 at its relaxed geometry. The functional is PBE-GGA.

Lattice parameters (Å, degrees): 5.6118 5.6118 17.9998 90.00 90.00 90.00
Last column: nearest neighbours and their distance in Å.
Space group I4/mmm (No. 139)
One atom of each set of equivalent atoms:
Tl: 0.0000 0.0000 0.1387 x4  1 I 3.37, 4 Br 3.76
In: 0.0000 0.0000 0.5000 x2  4 Br 2.81, 2 I 3.13
I: 0.0000 0.0000 0.3260 x4  1 In 3.13, 1 Tl 3.37
Br: 0.0000 0.5000 0.0000 x4  2 In 2.81

Output
VASP energy	-37.0	eV for the cell shown

=====

Record 10
This record from Alexandria describes crystalline Ce3Al2Ga4 at its relaxed geometry. The functional is PBE-GGA.

Lattice parameters (Å, degrees): 11.3533 4.3427 8.8038 90.00 115.96 90.00
Last column: nearest neighbours and their distance in Å.
Space group C2/m (No. 12)
One atom of each set of equivalent atoms:
Ce: 0.0000 0.0000 0.0000 x2  8 Ga 3.22-3.36, 4 Al 3.31
Ce: 0.1071 0.5000 0.6596 x4  1 Ce 2.80, 5 Ga 3.12-3.13
Al: 0.1664 0.5000 0.3018 x4  4 Ga 2.54-2.73
Ga: 0.1073 0.0000 0.4043 x4  3 Al 2.55-2.73
Ga: 0.2244 0.5000 0.0537 x4  2 Ga 2.53, 1 Al 2.54

Output
VASP energy	-84.2	eV for the cell shown

=====

Record 11
This record from Alexandria describes crystalline Pm4Ag2HgIr at its relaxed geometry. The functional is PBE-GGA.

Lattice parameters (Å, degrees): 5.2416 5.2416 25.3710 90.00 90.00 120.00
Last column: nearest neighbours and their distance in Å.
Space group R-3m (No. 166, hexagonal axes)
One atom of each set of equivalent atoms:
Pm: 0.0000 0.0000 0.1155 x6  1 Ir 2.93, 4 Ag 3.08-3.19
Pm: 0.0000 0.0000 0.3678 x6  3 Ir 3.15, 4 Ag 3.21-3.36, 1 Hg 3.35, 3 Pm 3.50
Ag: 0.0000 0.0000 0.2413 x6  8 Pm 3.08-3.36
Hg: 0.0000 0.0000 0.5000 x3  8 Pm 3.29-3.35, 6 Ag 3.57
Ir: 0.0000 0.0000 0.0000 x3  8 Pm 2.93-3.15

Output
VASP energy	-112.6	eV for the cell shown

=====

Record 12
This record from Alexandria describes crystalline CdSnPtBr2 at its relaxed geometry. The functional is PBE-GGA.

Lattice parameters (Å, degrees): 5.2557 5.2557 5.4089 90.00 90.00 90.00
Last column: nearest neighbours and their distance in Å.
Space group P4/mmm (No. 123)
One atom of each set of equivalent atoms:
Cd: 0.0000 0.0000 0.0000 x1  4 Br 2.63, 2 Pt 2.70
Sn: 0.5000 0.5000 0.5000 x1  4 Pt 3.72, 8 Br 3.77
Pt: 0.0000 0.0000 0.5000 x1  2 Cd 2.70
Br: 0.0000 0.5000 0.0000 x2  2 Cd 2.63

Output
VASP energy	-12.9	eV for the cell shown

=====

Record 13
This record from Alexandria describes crystalline Te2SeI at its relaxed geometry. The functional is PBE-GGA.

Lattice parameters (Å, degrees): 8.1384 8.1384 8.3740 90.00 90.00 90.00
Last column: nearest neighbours and their distance in Å.
Space group I-42d (No. 122)
One atom of each set of equivalent atoms:
Te: 0.2031 0.2500 0.1250 x8  2 Se 2.82
Se: 0.0000 0.0000 0.0000 x4  4 Te 2.82
I: 0.0000 0.0000 0.5000 x4  4 Te 3.33

Output
offset from the most stable computed form	250	meV per atom

=====

Record 14
This record from Alexandria describes crystalline Na12Cd7Ag at its relaxed geometry. The functional is PBE-GGA.

Lattice parameters (Å, degrees): 13.1710 13.1710 10.8679 90.00 90.00 120.00
Last column: nearest neighbours and their distance in Å.
Space group R-3 (No. 148, hexagonal axes)
One atom of each set of equivalent atoms:
Na: 0.9998 0.2655 0.4994 x18  6 Na 3.31-3.50, 5 Cd 3.32-3.50
Na: 0.0820 0.9169 0.2439 x18  1 Ag 3.25, 6 Na 3.26-3.48, 4 Cd 3.36-3.38
Cd: 0.0000 0.0000 0.5000 x3  12 Na 3.36-3.50
Cd: 0.0697 0.5352 0.6171 x18  3 Cd 3.00-3.19, 1 Ag 3.06, 2 Na 3.32-3.33
Ag: 0.0000 0.0000 0.0000 x3  6 Cd 3.06, 6 Na 3.25

Output
VASP energy	-78.5	eV for the cell shown

=====

Record 15
This record from Alexandria describes crystalline PrDyTmTh at its relaxed geometry. The functional is PBE-GGA.

Lattice parameters (Å, degrees): 8.0535 8.0535 8.0535 90.00 90.00 90.00
Last column: nearest neighbours and their distance in Å.
Space group F-43m (No. 216)
One atom of each set of equivalent atoms:
Pr: 0.0000 0.0000 0.0000 x4  4 Tm 3.49, 4 Dy 3.49
Dy: 0.2500 0.2500 0.7500 x4  4 Th 3.49, 4 Pr 3.49
Tm: 0.2500 0.2500 0.2500 x4  4 Th 3.49, 4 Pr 3.49
Th: 0.0000 0.0000 0.5000 x4  4 Dy 3.49, 4 Tm 3.49

Output
offset from the most stable computed form	114	meV per atom

=====

Record 16
This record from Alexandria describes crystalline YSc2Pt at its relaxed geometry. The functional is PBE-GGA.

Lattice parameters (Å, degrees): 3.4910 3.5065 7.5040 90.00 90.00 90.00
Last column: nearest neighbours and their distance in Å.
Space group Pmm2 (No. 25)
One atom of each set of equivalent atoms:
Y: 0.0000 0.0000 0.0000 x1  4 Pt 3.07, 5 Sc 3.19-3.38
Sc: 0.0000 0.0000 0.5746 x1  4 Pt 2.83
Sc: 0.5000 0.5000 0.3070 x1  8 Sc 3.19-3.51, 4 Y 3.38, 1 Pt 3.39
Pt: 0.5000 0.5000 0.7581 x1  4 Sc 2.83, 4 Y 3.07

Output
offset from the most stable computed form	133	meV per atom

=====

Record 17
This record from Alexandria describes crystalline TeOs2Cl at its relaxed geometry. The functional is PBE-GGA.

Lattice parameters (Å, degrees): 6.7805 3.9150 8.1142 90.00 90.62 90.00
Last column: nearest neighbours and their distance in Å.
Space group Cm (No. 8)
One atom of each set of equivalent atoms:
Te: 0.0000 0.0000 0.0000 x2  3 Os 2.76
Os: 0.1641 0.5000 0.8044 x2  3 Os 2.43
Os: 0.3294 0.0000 0.6946 x2  1 Cl 2.22, 3 Os 2.43
Cl: 0.3257 0.0000 0.4212 x2  1 Os 2.22

Output
offset from the most stable computed form	0	meV per atom

=====

Record 18
This record from Alexandria describes crystalline LiPbS2Cl at its relaxed geometry. The functional is PBE-GGA.

Lattice parameters (Å, degrees): 4.4474 4.4474 5.3470 90.00 90.00 90.00
Last column: nearest neighbours and their distance in Å.
Space group P4/mmm (No. 123)
One atom of each set of equivalent atoms:
Li: 0.0000 0.0000 0.0000 x1  4 S 2.22
Pb: 0.5000 0.5000 0.5000 x1  4 Cl 3.14, 8 S 3.48
S: 0.0000 0.5000 0.0000 x2  2 Li 2.22
Cl: 0.0000 0.0000 0.5000 x1  2 Li 2.67

Output
offset from the most stable computed form	0	meV per atom

=====

Record 19
This record from Alexandria describes crystalline SrLaNd2Se4 at its relaxed geometry. The functional is PBE-GGA.

Lattice parameters (Å, degrees): 7.4418 4.2712 7.4603 90.00 109.15 90.00
Last column: nearest neighbours and their distance in Å.
Space group P2/m (No. 10)
One atom of each set of equivalent atoms:
Sr: 0.0000 0.0000 0.0000 x1  6 Se 3.06-3.07
La: 0.5000 0.5000 0.0000 x1  6 Se 3.05-3.06
Nd: 0.0000 0.5000 0.5000 x1  6 Se 3.02
Nd: 0.5000 0.0000 0.5000 x1  6 Se 3.01-3.02
Se: 0.2485 0.0000 0.7452 x2  3 Nd 3.02, 1 Sr 3.06, 2 La 3.06
Se: 0.2532 0.5000 0.2562 x2  3 Nd 3.01-3.02, 1 La 3.05, 2 Sr 3.07

Output
VASP energy	-45.4	eV for the cell shown

=====

Record 20
This record from Alexandria describes crystalline MnCu at its relaxed geometry. The functional is PBE-GGA.

Lattice parameters (Å, degrees): 4.1949 7.6867 4.4610 90.00 90.00 90.00
Last column: nearest neighbours and their distance in Å.
Space group Amm2 (No. 38)
One atom of each set of equivalent atoms:
Mn: 0.0000 0.0000 0.0000 x2  4 Mn 2.56, 8 Cu 2.57-2.59
Mn: 0.5000 0.1664 0.8358 x4  7 Cu 2.55-2.59, 5 Mn 2.56-2.57
Cu: 0.0000 0.1651 0.5000 x4  5 Cu 2.54-2.58, 7 Mn 2.57-2.58
Cu: 0.5000 0.0000 0.3408 x2  4 Cu 2.55, 8 Mn 2.55-2.59

Output
VASP energy	-76.8	eV for the cell shown